TmSnP2O8 PBE optimized geometry; VASP energy = -7.2772 eV per atom; space group = C2/m
1.0
3.975 -2.672 0.000
3.975 2.672 0.000
-0.176 0.000 7.262
P Tm O Sn
2 1 8 1
direct
0.366 0.366 0.247 P
0.634 0.634 0.753 P
0.000 0.000 0.500 Tm
0.264 0.264 0.422 O
0.736 0.736 0.578 O
0.721 0.240 0.253 O
0.271 0.271 0.062 O
0.279 0.760 0.747 O
0.729 0.729 0.938 O
0.240 0.721 0.253 O
0.760 0.279 0.747 O
0.000 0.000 0.000 Sn